# 1
The following is a PBE calculation of an optimized crystal structure of SrMg2TeN, from the Alexandria database.

abc: 5.8245 5.8245 4.3023
angles: 90.00 90.00 90.00
Space group P4/mmm (No. 123)
Unique sites:
Sr (0.0000, 0.0000, 0.0000) (multiplicity 1)
Mg (0.0000, 0.5000, 0.5000) (multiplicity 2)
Te (0.5000, 0.5000, 0.5000) (multiplicity 1)
N (0.5000, 0.5000, 0.0000) (multiplicity 1)

For the total energy, the calculation gives -2.6088 eV per atom. The density of states at the Fermi level is 3.9 states/eV per cell. For the total magnetization, the calculation gives 0.000 μB/atom. Its formation energy from raw total energies is 0.659 eV per atom.

=====

# 2
The following is a PBE calculation of an optimized crystal structure of SrMgTeN2, from the Alexandria database.

abc: 4.4898 4.4898 5.7844
angles: 90.00 90.00 90.00
Space group P4/mmm (No. 123)
Unique sites:
Sr (0.0000, 0.0000, 0.0000) (multiplicity 1)
Mg (0.5000, 0.5000, 0.5000) (multiplicity 1)
Te (0.5000, 0.5000, 0.0000) (multiplicity 1)
N (0.0000, 0.5000, 0.5000) (multiplicity 2)

For the total energy, the calculation gives -4.1314 eV per atom. The density of states at the Fermi level is 1.7 states/eV per cell. For the total magnetization, the calculation gives 0.800 μB/atom. As for the relative energy among the computed polymorphs: 0.0 kJ/mol of atoms. Its formation energy from raw total energies is 0.482 eV per atom.

=====

# 3
The following is a PBE calculation of an optimized crystal structure of SrMgTeN2, from the Alexandria database.

abc: 4.4853 4.4853 6.7015
angles: 90.00 90.00 90.00
Space group P4/mmm (No. 123)
Unique sites:
Sr (0.0000, 0.0000, 0.0000) (multiplicity 1)
Mg (0.5000, 0.5000, 0.5000) (multiplicity 1)
Te (0.0000, 0.0000, 0.5000) (multiplicity 1)
N (0.0000, 0.5000, 0.0000) (multiplicity 2)

For the total energy, the calculation gives -3.3760 eV per atom. The density of states at the Fermi level is 3.6 states/eV per cell. For the total magnetization, the calculation gives 0.107 μB/atom. As for the relative energy among the computed polymorphs: 72.9 kJ/mol of atoms. Its formation energy from raw total energies is 1.238 eV per atom.

=====

# 4
The following is a PBE calculation of an optimized crystal structure of Sr3MgU3N8, from the Alexandria database.

abc: 6.9312 6.9312 17.7798
angles: 90.00 90.00 120.00
Space group R-3m (No. 166, hexagonal axes)
Unique sites:
Sr (0.0000, 0.5000, 0.0000) (multiplicity 9)
Mg (0.0000, 0.0000, 0.5000) (multiplicity 3)
U (0.0000, 0.5000, 0.5000) (multiplicity 9)
N (0.0000, 0.0000, 0.2348) (multiplicity 6)
N (0.0154, 0.5077, 0.7737) (multiplicity 18)

For the total energy, the calculation gives -8.1920 eV per atom. The density of states at the Fermi level is 21.1 states/eV per cell. For the total magnetization, the calculation gives 0.136 μB/atom. Its formation energy from raw total energies is -1.051 eV per atom.

=====

# 5
The following is a PBE calculation of an optimized crystal structure of Sr4MgU3N8, from the Alexandria database.

abc: 7.0448 7.0448 17.8624
angles: 90.00 90.00 120.00
Space group R-3m (No. 166, hexagonal axes)
Unique sites:
Sr (0.0000, 0.0000, 0.0000) (multiplicity 3)
Sr (0.0000, 0.5000, 0.0000) (multiplicity 9)
Mg (0.0000, 0.0000, 0.5000) (multiplicity 3)
U (0.0000, 0.5000, 0.5000) (multiplicity 9)
N (0.0000, 0.0000, 0.2323) (multiplicity 6)
N (0.0193, 0.5097, 0.7682) (multiplicity 18)

For the total energy, the calculation gives -7.8898 eV per atom. The density of states at the Fermi level is 24.6 states/eV per cell. For the total magnetization, the calculation gives 0.244 μB/atom. Its formation energy from raw total energies is -1.090 eV per atom.

=====

# 6
The following is a PBE calculation of an optimized crystal structure of Sr2MgVN4, from the Alexandria database.

abc: 5.8432 7.2392 6.0092
angles: 90.00 90.00 90.00
Space group Pmmn (No. 59, origin choice 2)
Unique sites:
Sr (0.2500, 0.0028, 0.2322) (multiplicity 4)
Mg (0.2500, 0.2500, 0.7796) (multiplicity 2)
V (0.2500, 0.7500, 0.8010) (multiplicity 2)
N (0.0089, 0.7500, 0.9868) (multiplicity 4)
N (0.2500, 0.5264, 0.6534) (multiplicity 4)

For the total energy, the calculation gives -6.7450 eV per atom. The density of states at the Fermi level is 6.8 states/eV per cell. For the total magnetization, the calculation gives 0.121 μB/atom. Its formation energy from raw total energies is -0.823 eV per atom.

=====

> Which formula does entry 1 have?

SrMg2TeN

=====

> Look up the formation energy from raw total energies of the fourth one.

-1.051 eV per atom